VASP calculation (PBE) on crystalline ScAs4P at its relaxed geometry.

Cell lengths 5.493, 5.493, 5.493 Å; angles 60.00, 60.00, 60.00 degrees
Fractional coordinates of all 6 atoms:
As  0.376  0.376  0.376
As  0.872  0.376  0.376
As  0.376  0.872  0.376
As  0.376  0.376  0.872
P  0.750  0.750  0.750
Sc  0.000  0.000  0.000

Summary:
Energy of formation   0.202 eV per atom
Spin magnetization   0.0 μB per formula unit
Space group   F-43m, No. 216



VASP calculation (PBE) on crystalline Sc2AsP at its relaxed geometry.

Cell lengths 4.868, 4.868, 3.376 Å; angles 78.23, 78.23, 92.78 degrees
Fractional coordinates of all 4 atoms:
P  0.000  0.000  0.500
Sc  0.000  0.500  0.000
Sc  0.500  0.000  0.000
As  0.500  0.500  0.500

Summary:
Energy of formation   -1.026 eV per atom
Spin magnetization   0.0 μB per formula unit
Space group   C2/m, No. 12



VASP calculation (PBE) on crystalline ScAs2P at its relaxed geometry.

Cell lengths 4.731, 4.731, 4.731 Å; angles 60.00, 60.00, 60.00 degrees
Fractional coordinates of all 4 atoms:
P  0.500  0.500  0.500
Sc  0.250  0.250  0.250
As  0.750  0.750  0.750
As  0.000  0.000  0.000

Summary:
Energy of formation   -0.070 eV per atom
Spin magnetization   0.0 μB per formula unit
Space group   F-43m, No. 216



> Look up the energy of formation of the third one.

-0.070 eV per atom